Entry 1:
# SiSbPtI2 (GGA-PBE, optimized geometry)
# **Total moment**: 0.00 μB/f.u.
# **Calculated density**: 6.35 Mg/m³
# **Energy above the most stable polymorph in this dataset**: 0 meV/atom
# **Uncorrected formation energy**: 3.31 eV/f.u.
data_SiSbPtI2
_chemical_formula_sum 'Si1 Sb1 Pt1 I2'
_cell_length_a 5.4704
_cell_length_b 5.4704
_cell_length_c 5.2296
_cell_angle_alpha 90.00
_cell_angle_beta 90.00
_cell_angle_gamma 90.00
_symmetry_space_group_name_H-M 'P 4/m m m'
_symmetry_Int_Tables_number 123
_symmetry_space_group_name_Hall '-P 4 2'
loop_
_atom_site_label
_atom_site_fract_x
_atom_site_fract_y
_atom_site_fract_z
Si1 0.0000 0.0000 0.0000
Sb1 0.5000 0.5000 0.0000
Pt1 0.5000 0.5000 0.5000
I1 0.0000 0.5000 0.5000

Entry 2:
# La4PI2N (GGA-PBE, optimized geometry)
# **Total moment**: 0.00 μB/f.u.
# **Calculated density**: 6.19 Mg/m³
# **Uncorrected formation energy**: -10.70 eV/f.u.
data_La4PI2N
_chemical_formula_sum 'La4 P1 I2 N1'
_cell_length_a 7.1511
_cell_length_b 4.0803
_cell_length_c 8.1998
_cell_angle_alpha 90.00
_cell_angle_beta 106.66
_cell_angle_gamma 90.00
_symmetry_space_group_name_H-M 'P 1 2/m 1'
_symmetry_Int_Tables_number 10
loop_
_symmetry_equiv_pos_as_xyz
'x,y,z'
'-x,-y,-z'
'-x,y,-z'
'x,-y,z'
loop_
_atom_site_label
_atom_site_fract_x
_atom_site_fract_y
_atom_site_fract_z
La1 0.2024 0.0000 0.1765
La2 0.2399 0.5000 0.8186
P1 0.5000 0.0000 0.0000
I1 0.0000 0.0000 0.5000
I2 0.5000 0.5000 0.5000
N1 0.0000 0.5000 0.0000

Entry 3:
# Ta4Rh (GGA-PBE, optimized geometry)
# **Total moment**: 0.00 μB/f.u.
# **Calculated formation energy**: 0.7901 eV/atom
# **Calculated density**: 14.28 Mg/m³
# **Energy above the most stable polymorph in this dataset**: 1020 meV/atom
data_Ta4Rh
_chemical_formula_sum 'Ta8 Rh2'
_cell_length_a 3.6545
_cell_length_b 3.6545
_cell_length_c 14.3943
_cell_angle_alpha 90.00
_cell_angle_beta 90.00
_cell_angle_gamma 90.00
_symmetry_space_group_name_H-M 'I 4/m m m'
_symmetry_Int_Tables_number 139
_symmetry_space_group_name_Hall '-I 4 2'
loop_
_atom_site_label
_atom_site_fract_x
_atom_site_fract_y
_atom_site_fract_z
Ta1 0.0000 0.0000 0.0893
Ta2 0.0000 0.5000 0.2500
Rh1 0.0000 0.0000 0.5000

Entry 4:
# La2PmCd (GGA-PBE, optimized geometry)
# **Total moment**: 0.00 μB/f.u.
# **Calculated formation energy**: -0.0539 eV/atom
# **Calculated density**: 6.56 Mg/m³
# **Energy above the most stable polymorph in this dataset**: 95 meV/atom
data_La2PmCd
_chemical_formula_sum 'La6 Pm3 Cd3'
_cell_length_a 3.7236
_cell_length_b 3.7236
_cell_length_c 33.8572
_cell_angle_alpha 90.00
_cell_angle_beta 90.00
_cell_angle_gamma 120.00
_symmetry_space_group_name_H-M 'R 3 m'
_symmetry_Int_Tables_number 160
_symmetry_space_group_name_Hall 'R 3 -2"'
loop_
_atom_site_label
_atom_site_fract_x
_atom_site_fract_y
_atom_site_fract_z
La1 0.0000 0.0000 0.0000
La2 0.0000 0.0000 0.1772
Pm1 0.0000 0.0000 0.7558
Cd1 0.0000 0.0000 0.5884

Entry 5:
# ZrBi3As (GGA-PBE, optimized geometry)
# **Total moment**: 1.67 μB/f.u.
# **Calculated formation energy**: 0.6118 eV/atom
# **Calculated density**: 7.30 Mg/m³
# **Energy above the most stable polymorph in this dataset**: 0 meV/atom
data_ZrBi3As
_chemical_formula_sum 'Zr1 Bi3 As1'
_cell_length_a 5.6507
_cell_length_b 5.6507
_cell_length_c 5.6507
_cell_angle_alpha 90.00
_cell_angle_beta 90.00
_cell_angle_gamma 90.00
_symmetry_space_group_name_H-M 'P m -3 m'
_symmetry_Int_Tables_number 221
_symmetry_space_group_name_Hall '-P 4 2 3'
loop_
_atom_site_label
_atom_site_fract_x
_atom_site_fract_y
_atom_site_fract_z
Zr1 0.0000 0.0000 0.0000
Bi1 0.0000 0.0000 0.5000
As1 0.5000 0.5000 0.5000

Entry 6:
# Pm2In2Ru2C (GGA-PBE, optimized geometry)
# **Total moment**: 0.00 μB/f.u.
# **Calculated formation energy**: -0.3155 eV/atom
# **Calculated density**: 8.17 Mg/m³
data_Pm2In2Ru2C
_chemical_formula_sum 'Pm4 In4 Ru4 C2'
_cell_length_a 11.7071
_cell_length_b 4.0139
_cell_length_c 7.8240
_cell_angle_alpha 90.00
_cell_angle_beta 125.80
_cell_angle_gamma 90.00
_symmetry_space_group_name_H-M 'C 1 2/m 1'
_symmetry_Int_Tables_number 12
loop_
_symmetry_equiv_pos_as_xyz
'x,y,z'
'-x,-y,-z'
'-x,y,-z'
'x,-y,z'
'x+1/2,y+1/2,z'
'-x+1/2,-y+1/2,-z'
'-x+1/2,y+1/2,-z'
'x+1/2,-y+1/2,z'
loop_
_atom_site_label
_atom_site_fract_x
_atom_site_fract_y
_atom_site_fract_z
Pm1 0.0502 0.0000 0.2638
In1 0.1540 0.5000 0.6803
Ru1 0.1801 0.5000 0.0561
C1 0.0000 0.5000 0.0000

Entry 7:
# CsTbTl2Br6 (GGA-PBE, optimized geometry)
# **Total moment**: 0.00 μB/f.u.
# **Calculated density**: 4.51 Mg/m³
# **Uncorrected formation energy**: -14.75 eV/f.u.
data_CsTbTl2Br6
_chemical_formula_sum 'Cs3 Tb3 Tl6 Br18'
_cell_length_a 8.3111
_cell_length_b 8.3111
_cell_length_c 21.7810
_cell_angle_alpha 90.00
_cell_angle_beta 90.00
_cell_angle_gamma 120.00
_symmetry_space_group_name_H-M 'R 3'
_symmetry_Int_Tables_number 146
_symmetry_space_group_name_Hall 'R 3'
loop_
_atom_site_label
_atom_site_fract_x
_atom_site_fract_y
_atom_site_fract_z
Cs1 0.0000 0.0000 0.0000
Tb1 0.0000 0.0000 0.4849
Tl1 0.0000 0.0000 0.2854
Tl2 0.0000 0.0000 0.7999
Br1 0.0205 0.2958 0.5545
Br2 0.0234 0.7460 0.4020

Entry 8:
# CaNiS3 (GGA-PBE, optimized geometry)
# **Total moment**: 2.20 μB/f.u.
# **Calculated density**: 2.35 Mg/m³
# **Energy above the most stable polymorph in this dataset**: 1340 meV/atom
# **Uncorrected formation energy**: 3.72 eV/f.u.
data_CaNiS3
_chemical_formula_sum 'Ca1 Ni1 S3'
_cell_length_a 5.1628
_cell_length_b 5.1628
_cell_length_c 5.1628
_cell_angle_alpha 90.00
_cell_angle_beta 90.00
_cell_angle_gamma 90.00
_symmetry_space_group_name_H-M 'P m -3 m'
_symmetry_Int_Tables_number 221
_symmetry_space_group_name_Hall '-P 4 2 3'
loop_
_atom_site_label
_atom_site_fract_x
_atom_site_fract_y
_atom_site_fract_z
Ca1 0.0000 0.0000 0.0000
Ni1 0.5000 0.5000 0.5000
S1 0.0000 0.0000 0.5000